{
  "formula": "RbHg3Pt",
  "functional": "PBE",
  "state": "relaxed",
  "lattice": [[5.373, 0.000, 0.000], [0.000, 5.373, 0.000], [0.000, 0.000, 5.373]],
  "species": ["Hg", "Hg", "Hg", "Pt", "Rb"],
  "frac_coords": [[0.500, 0.000, 0.000], [0.000, 0.500, 0.000], [0.000, 0.000, 0.500], [0.000, 0.000, 0.000], [0.500, 0.500, 0.500]],
  "total_energy_ev_per_cell": -9.31
}